The following is a PBE-GGA calculation of a relaxed structure of Pr3CdPb2, from Alexandria.

The structure belongs to space group C2/c (No. 15); the cell edges are 17.264, 6.657 and 6.578 Å and the angles 90.00°, 103.57° and 90.00°. Symmetry generates all atoms from Pr at (0.000, 0.151, 0.250), Pr at (0.172, 0.390, 0.602), Cd at (0.000, 0.363, 0.750) and Pb at (0.157, 0.107, 0.050).

As for the offset from the most stable computed form: 58 meV per atom. The formation enthalpy at 0 K comes out at -2.49 eV per formula unit.

The following is a PBE-GGA calculation of a relaxed structure of In3IBr, from Alexandria.

The structure belongs to space group Pm-3m (No. 221); the cell edges are 6.102, 6.102 and 6.102 Å and the angles 90.00°, 90.00° and 90.00°. Symmetry generates all atoms from In at (0.000, 0.000, 0.500), I at (0.500, 0.500, 0.500) and Br at (0.000, 0.000, 0.000).

The value obtained for the formation energy (no corrections) is -0.045 eV/atom. As for the offset from the most stable computed form: 0 meV per atom.

The following is a PBE-GGA calculation of a relaxed structure of AlCuAs, from Alexandria.

The structure belongs to space group F-43m (No. 216); the cell edges are 5.919, 5.919 and 5.919 Å and the angles 90.00°, 90.00° and 90.00°. Symmetry generates all atoms from Al at (0.000, 0.000, 0.000), Cu at (0.250, 0.250, 0.250) and As at (0.000, 0.000, 0.500).

As for the offset from the most stable computed form: 30 meV per atom. The formation enthalpy at 0 K comes out at -0.09 eV per formula unit.

The following is a PBE-GGA calculation of a relaxed structure of NaAcGaPd, from Alexandria.

The structure belongs to space group F-43m (No. 216); the cell edges are 7.394, 7.394 and 7.394 Å and the angles 90.00°, 90.00° and 90.00°. Symmetry generates all atoms from Na at (0.000, 0.000, 0.000), Ac at (0.000, 0.000, 0.500), Ga at (0.250, 0.250, 0.750) and Pd at (0.250, 0.250, 0.250).

The formation enthalpy at 0 K comes out at -1.19 eV per formula unit.

The following is a PBE-GGA calculation of a relaxed structure of YBe3Sb, from Alexandria.

The structure belongs to space group Pm-3m (No. 221); the cell edges are 4.938, 4.938 and 4.938 Å and the angles 90.00°, 90.00° and 90.00°. Symmetry generates all atoms from Y at (0.000, 0.000, 0.000), Be at (0.000, 0.000, 0.500) and Sb at (0.500, 0.500, 0.500).

The value obtained for the formation energy (no corrections) is 1.726 eV/atom. As for the offset from the most stable computed form: 862 meV per atom.

The following is a PBE-GGA calculation of a relaxed structure of PrNd6Y2Tm3, from Alexandria.

The structure belongs to space group C2/m (No. 12); the cell edges are 6.285, 10.882 and 11.889 Å and the angles 90.00°, 100.10° and 90.00°. Symmetry generates all atoms from Pr at (0.000, 0.000, 0.000), Nd at (0.248, 0.000, 0.746), Nd at (0.248, 0.333, 0.746), Y at (0.000, 0.333, 0.000), Tm at (0.000, 0.167, 0.500) and Tm at (0.000, 0.500, 0.500).

The formation enthalpy at 0 K comes out at 0.18 eV per formula unit.